# 1
Material: Ag3Pd2F6
Method: DFT, PBE
State: optimized geometry

Unit cell a=4.1670 b=4.1671 c=11.3436 alpha=70.63 beta=70.64 gamma=85.96
Each line ends with the local moment (μB).
Positions (direct):
Ag 0.0000 0.0000 0.0000  0.03
Ag 0.7897 0.7897 0.3607  0.04
Ag 0.2103 0.2103 0.6393  0.04
Pd 0.3085 0.3085 0.2300  1.10
Pd 0.6915 0.6915 0.7700  1.10
F 0.1157 0.6318 0.8471  0.14
F 0.6317 0.1157 0.8471  0.14
F 0.8843 0.3682 0.1529  0.14
F 0.3683 0.8843 0.1529  0.14
F 0.6252 0.6252 0.5915  0.06
F 0.3748 0.3748 0.4085  0.06

Computed properties:
formation energy without anion corrections	-822	meV/atom
crystal system	monoclinic
uncorrected energy	-3.56	eV/atom

***

# 2
Material: Ag4PdF5
Method: DFT, PBE
State: optimized geometry

Unit cell a=4.0557 b=6.5601 c=6.5601 alpha=84.52 beta=71.99 gamma=71.99
Each line ends with the local moment (μB).
Positions (direct):
Ag 0.4023 0.4664 0.7310  0.00
Ag 0.8687 0.7310 0.5336  0.00
Ag 0.1334 0.2690 0.4664  0.00
Ag 0.5998 0.5336 0.2690  0.00
Pd 0.0010 0.0000 0.0000  0.84
F 0.8672 0.3394 0.9283  0.06
F 0.2066 0.9283 0.6606  0.06
F 0.7955 0.0717 0.3394  0.06
F 0.1349 0.6606 0.0717  0.06
F 0.5010 0.0000 0.0000  0.01

Computed properties:
formation energy without anion corrections	-937	meV/atom
crystal system	tetragonal
uncorrected energy	-3.53	eV/atom

***

# 3
Material: Ag3PdF4
Method: DFT, PBE
State: optimized geometry

Unit cell a=4.5509 b=7.5391 c=7.7593 alpha=90.00 beta=90.00 gamma=90.00
Positions (direct):
Ag 0.5634 0.9607 0.0000
Ag 0.0644 0.6105 0.1827
Ag 0.5644 0.3895 0.3173
Ag 0.0634 0.0393 0.5000
Ag 0.5644 0.3895 0.6827
Ag 0.0644 0.6105 0.8173
Pd 0.0649 0.2757 0.0000
Pd 0.5649 0.7243 0.5000
F 0.0636 0.8774 0.0000
F 0.5650 0.2872 0.0000
F 0.0647 0.2604 0.2640
F 0.5647 0.7396 0.2360
F 0.0650 0.7128 0.5000
F 0.5636 0.1226 0.5000
F 0.5647 0.7396 0.7640
F 0.0647 0.2604 0.7360

Computed properties:
formation energy without anion corrections	-859	meV/atom
crystal system	orthorhombic
uncorrected energy	-3.51	eV/atom

***

# 4
Material: Ag2PdF
Method: DFT, PBE
State: optimized geometry

Unit cell a=2.9342 b=2.9327 c=8.2349 alpha=90.02 beta=90.00 gamma=59.99
Positions (direct):
Ag 0.8061 0.0388 0.5903
Ag 0.8067 0.0377 0.0361
Pd 0.1396 0.3714 0.3132
F 0.1422 0.3685 0.8132

Computed properties:
formation energy without anion corrections	-500	meV/atom
crystal system	orthorhombic
uncorrected energy	-3.69	eV/atom